# 1
# CsNpIn2I8 (PBE-GGA, optimized geometry)
# DFT total energy   -40.404 eV/cell
# Uncorrected formation energy   -0.728 eV/atom
# Size of the total moment   3.1 Bohr magnetons per cell
data_CsNpIn2I8
_chemical_formula_sum 'Cs1 Np1 In2 I8'
_space_group_name_H-M_alt 'P -1'
_space_group_IT_number 2
_cell_length_a 7.7499
_cell_length_b 7.8126
_cell_length_c 10.6221
_cell_angle_alpha 78.00
_cell_angle_beta 81.96
_cell_angle_gamma 81.88
loop_
_space_group_symop_operation_xyz
'x,y,z'
'-x,-y,-z'
loop_
_atom_site_label
_atom_site_type_symbol
_atom_site_fract_x
_atom_site_fract_y
_atom_site_fract_z
_atom_site_occupancy
Cs1 Cs 0.0000 0.0000 0.0000 1
Np1 Np 0.0000 0.0000 0.5000 1
In1 In 0.4668 0.4478 0.2327 1
I1 I 0.1360 0.7236 0.7239 1
I2 I 0.2392 0.8189 0.3050 1
I3 I 0.2799 0.2259 0.5052 1
I4 I 0.3731 0.2914 0.0117 1



# 2
# AcSm2RhN4 (PBE-GGA, optimized geometry)
# DFT total energy   -244.089 eV/cell
# Uncorrected formation energy   -0.853 eV/atom
# Size of the total moment   0.0 Bohr magnetons per cell
data_AcSm2RhN4
_chemical_formula_sum 'Ac4 Sm8 Rh4 N16'
_space_group_name_H-M_alt 'C m c m'
_space_group_IT_number 63
_space_group_name_Hall '-C 2c 2'
_cell_length_a 3.6201
_cell_length_b 12.0463
_cell_length_c 11.9426
_cell_angle_alpha 90.00
_cell_angle_beta 90.00
_cell_angle_gamma 90.00
loop_
_atom_site_label
_atom_site_type_symbol
_atom_site_fract_x
_atom_site_fract_y
_atom_site_fract_z
_atom_site_occupancy
Ac1 Ac 0.0000 0.1135 0.2500 1
Sm1 Sm 0.0000 0.3689 0.0457 1
Rh1 Rh 0.0000 0.1512 0.7500 1
N1 N 0.0000 0.0000 0.0000 1
N2 N 0.0000 0.2698 0.6259 1
N3 N 0.0000 0.4255 0.2500 1



# 3
# La2Pr6Y3Tm (PBE-GGA, optimized geometry)
# DFT total energy   -124.451 eV/cell
# ΔH_f (0 K)   0.17 eV/f.u.
# Size of the total moment   0.0 Bohr magnetons per cell
data_La2Pr6Y3Tm
_chemical_formula_sum 'La4 Pr12 Y6 Tm2'
_space_group_name_H-M_alt 'C 1 2/m 1'
_space_group_IT_number 12
_cell_length_a 6.3612
_cell_length_b 11.0241
_cell_length_c 12.0846
_cell_angle_alpha 90.00
_cell_angle_beta 100.13
_cell_angle_gamma 90.00
loop_
_space_group_symop_operation_xyz
'x,y,z'
'-x,-y,-z'
'-x,y,-z'
'x,-y,z'
'x+1/2,y+1/2,z'
'-x+1/2,-y+1/2,-z'
'-x+1/2,y+1/2,-z'
'x+1/2,-y+1/2,z'
loop_
_atom_site_label
_atom_site_type_symbol
_atom_site_fract_x
_atom_site_fract_y
_atom_site_fract_z
_atom_site_occupancy
La1 La 0.0000 0.1667 0.0000 1
Pr1 Pr 0.2477 0.5000 0.7466 1
Pr2 Pr 0.2502 0.1657 0.7471 1
Y1 Y 0.0000 0.0000 0.5000 1
Y2 Y 0.0000 0.3337 0.5000 1
Tm1 Tm 0.0000 0.5000 0.0000 1



# 4
# SrRu2W (PBE-GGA, optimized geometry)
# DFT total energy   -122.148 eV/cell
# Energy above the most stable polymorph in this dataset   0.385 eV/atom
# ΔH_f (0 K)   2.65 eV/f.u.
# Size of the total moment   0.0 Bohr magnetons per cell
data_SrRu2W
_chemical_formula_sum 'Sr4 Ru8 W4'
_space_group_name_H-M_alt 'F m -3 m'
_space_group_IT_number 225
_space_group_name_Hall '-F 4 2 3'
_cell_length_a 6.5576
_cell_length_b 6.5576
_cell_length_c 6.5576
_cell_angle_alpha 90.00
_cell_angle_beta 90.00
_cell_angle_gamma 90.00
loop_
_atom_site_label
_atom_site_type_symbol
_atom_site_fract_x
_atom_site_fract_y
_atom_site_fract_z
_atom_site_occupancy
Sr1 Sr 0.0000 0.0000 0.0000 1
Ru1 Ru 0.2500 0.2500 0.2500 1
W1 W 0.0000 0.0000 0.5000 1



# 5
# LaCePmDy (PBE-GGA, optimized geometry)
# DFT total energy   -77.666 eV/cell
# ΔH_f (0 K)   0.80 eV/f.u.
# Size of the total moment   13.2 Bohr magnetons per cell
data_LaCePmDy
_chemical_formula_sum 'La4 Ce4 Pm4 Dy4'
_space_group_name_H-M_alt 'F -4 3 m'
_space_group_IT_number 216
_space_group_name_Hall 'F -4 2 3'
_cell_length_a 8.1650
_cell_length_b 8.1650
_cell_length_c 8.1650
_cell_angle_alpha 90.00
_cell_angle_beta 90.00
_cell_angle_gamma 90.00
loop_
_atom_site_label
_atom_site_type_symbol
_atom_site_fract_x
_atom_site_fract_y
_atom_site_fract_z
_atom_site_occupancy
La1 La 0.0000 0.0000 0.0000 1
Ce1 Ce 0.2500 0.2500 0.7500 1
Pm1 Pm 0.0000 0.0000 0.5000 1
Dy1 Dy 0.2500 0.2500 0.2500 1



# 6
# HoAlGa4 (PBE-GGA, optimized geometry)
# DFT total energy   -86.045 eV/cell
# Energy above the most stable polymorph in this dataset   0.134 eV/atom
# ΔH_f (0 K)   -1.08 eV/f.u.
# Size of the total moment   0.0 Bohr magnetons per cell
data_HoAlGa4
_chemical_formula_sum 'Ho4 Al4 Ga16'
_space_group_name_H-M_alt 'F -4 3 m'
_space_group_IT_number 216
_space_group_name_Hall 'F -4 2 3'
_cell_length_a 7.7346
_cell_length_b 7.7346
_cell_length_c 7.7346
_cell_angle_alpha 90.00
_cell_angle_beta 90.00
_cell_angle_gamma 90.00
loop_
_atom_site_label
_atom_site_type_symbol
_atom_site_fract_x
_atom_site_fract_y
_atom_site_fract_z
_atom_site_occupancy
Ho1 Ho 0.0000 0.0000 0.0000 1
Al1 Al 0.2500 0.2500 0.2500 1
Ga1 Ga 0.1250 0.1250 0.6250 1



# 7
# K5Ge2O5 (PBE-GGA, optimized geometry)
# DFT total energy   -108.569 eV/cell
# Uncorrected formation energy   -1.231 eV/atom
# Size of the total moment   0.0 Bohr magnetons per cell
data_K5Ge2O5
_chemical_formula_sum 'K10 Ge4 O10'
_space_group_name_H-M_alt 'C 1 2/m 1'
_space_group_IT_number 12
_cell_length_a 12.0974
_cell_length_b 3.8819
_cell_length_c 10.1107
_cell_angle_alpha 90.00
_cell_angle_beta 107.30
_cell_angle_gamma 90.00
loop_
_space_group_symop_operation_xyz
'x,y,z'
'-x,-y,-z'
'-x,y,-z'
'x,-y,z'
'x+1/2,y+1/2,z'
'-x+1/2,-y+1/2,-z'
'-x+1/2,y+1/2,-z'
'x+1/2,-y+1/2,z'
loop_
_atom_site_label
_atom_site_type_symbol
_atom_site_fract_x
_atom_site_fract_y
_atom_site_fract_z
_atom_site_occupancy
K1 K 0.0000 0.0000 0.0000 1
K2 K 0.1512 0.0000 0.5511 1
K3 K 0.2459 0.5000 0.1357 1
Ge1 Ge 0.0343 0.5000 0.2912 1
O1 O 0.0000 0.5000 0.5000 1
O2 O 0.0991 0.5000 0.8556 1
O3 O 0.1100 0.0000 0.2718 1



# 8
# NiAsW2 (PBE-GGA, optimized geometry)
# DFT total energy   -71.270 eV/cell
# ΔH_f (0 K)   0.70 eV/f.u.
# Size of the total moment   0.0 Bohr magnetons per cell
data_NiAsW2
_chemical_formula_sum 'Ni2 As2 W4'
_space_group_name_H-M_alt 'C 1 m 1'
_space_group_IT_number 8
_cell_length_a 9.2546
_cell_length_b 2.9663
_cell_length_c 4.4701
_cell_angle_alpha 90.00
_cell_angle_beta 109.74
_cell_angle_gamma 90.00
loop_
_space_group_symop_operation_xyz
'x,y,z'
'x,-y,z'
'x+1/2,y+1/2,z'
'x+1/2,-y+1/2,z'
loop_
_atom_site_label
_atom_site_type_symbol
_atom_site_fract_x
_atom_site_fract_y
_atom_site_fract_z
_atom_site_occupancy
Ni1 Ni 0.0000 0.0000 0.0000 1
As1 As 0.2891 0.0000 0.6925 1
W1 W 0.0427 0.5000 0.5193 1
W2 W 0.2437 0.5000 0.1604 1



# 9
# AlNiAs2Br (PBE-GGA, optimized geometry)
# DFT total energy   -16.568 eV/cell
# Energy above the most stable polymorph in this dataset   0.434 eV/atom
# Uncorrected formation energy   0.786 eV/atom
# Size of the total moment   0.5 Bohr magnetons per cell
data_AlNiAs2Br
_chemical_formula_sum 'Al1 Ni1 As2 Br1'
_space_group_name_H-M_alt 'P 4/m m m'
_space_group_IT_number 123
_space_group_name_Hall '-P 4 2'
_cell_length_a 4.8465
_cell_length_b 4.8465
_cell_length_c 4.9579
_cell_angle_alpha 90.00
_cell_angle_beta 90.00
_cell_angle_gamma 90.00
loop_
_atom_site_label
_atom_site_type_symbol
_atom_site_fract_x
_atom_site_fract_y
_atom_site_fract_z
_atom_site_occupancy
Al1 Al 0.0000 0.0000 0.0000 1
Ni1 Ni 0.5000 0.5000 0.5000 1
As1 As 0.0000 0.5000 0.0000 1
Br1 Br 0.0000 0.0000 0.5000 1



# 10
# Ta3TlCr (PBE-GGA, optimized geometry)
# DFT total energy   -33.009 eV/cell
# Energy above the most stable polymorph in this dataset   1.942 eV/atom
# ΔH_f (0 K)   14.54 eV/f.u.
# Size of the total moment   0.7 Bohr magnetons per cell
data_Ta3TlCr
_chemical_formula_sum 'Ta3 Tl1 Cr1'
_space_group_name_H-M_alt 'P m -3 m'
_space_group_IT_number 221
_space_group_name_Hall '-P 4 2 3'
_cell_length_a 5.0206
_cell_length_b 5.0206
_cell_length_c 5.0206
_cell_angle_alpha 90.00
_cell_angle_beta 90.00
_cell_angle_gamma 90.00
loop_
_atom_site_label
_atom_site_type_symbol
_atom_site_fract_x
_atom_site_fract_y
_atom_site_fract_z
_atom_site_occupancy
Ta1 Ta 0.0000 0.0000 0.5000 1
Tl1 Tl 0.0000 0.0000 0.0000 1
Cr1 Cr 0.5000 0.5000 0.5000 1



# 11
# ZnAuBr3 (PBE-GGA, optimized geometry)
# DFT total energy   -8.994 eV/cell
# Energy above the most stable polymorph in this dataset   0.091 eV/atom
# Uncorrected formation energy   0.115 eV/atom
# Size of the total moment   0.7 Bohr magnetons per cell
data_ZnAuBr3
_chemical_formula_sum 'Zn1 Au1 Br3'
_space_group_name_H-M_alt 'P m -3 m'
_space_group_IT_number 221
_space_group_name_Hall '-P 4 2 3'
_cell_length_a 5.3113
_cell_length_b 5.3113
_cell_length_c 5.3113
_cell_angle_alpha 90.00
_cell_angle_beta 90.00
_cell_angle_gamma 90.00
loop_
_atom_site_label
_atom_site_type_symbol
_atom_site_fract_x
_atom_site_fract_y
_atom_site_fract_z
_atom_site_occupancy
Zn1 Zn 0.0000 0.0000 0.0000 1
Au1 Au 0.5000 0.5000 0.5000 1
Br1 Br 0.0000 0.5000 0.5000 1



# 12
# Dy3TmTh2P6 (PBE-GGA, optimized geometry)
# DFT total energy   -169.475 eV/cell
# ΔH_f (0 K)   -19.16 eV/f.u.
# Size of the total moment   0.0 Bohr magnetons per cell
data_Dy3TmTh2P6
_chemical_formula_sum 'Dy6 Tm2 Th4 P12'
_space_group_name_H-M_alt 'C 1 2/m 1'
_space_group_IT_number 12
_cell_length_a 17.6339
_cell_length_b 4.0562
_cell_length_c 8.0806
_cell_angle_alpha 90.00
_cell_angle_beta 103.20
_cell_angle_gamma 90.00
loop_
_space_group_symop_operation_xyz
'x,y,z'
'-x,-y,-z'
'-x,y,-z'
'x,-y,z'
'x+1/2,y+1/2,z'
'-x+1/2,-y+1/2,-z'
'-x+1/2,y+1/2,-z'
'x+1/2,-y+1/2,z'
loop_
_atom_site_label
_atom_site_type_symbol
_atom_site_fract_x
_atom_site_fract_y
_atom_site_fract_z
_atom_site_occupancy
Dy1 Dy 0.0000 0.0000 0.0000 1
Dy2 Dy 0.1662 0.5000 0.3342 1
Tm1 Tm 0.0000 0.0000 0.5000 1
Th1 Th 0.1645 0.5000 0.8295 1
P1 P 0.0020 0.5000 0.2537 1
P2 P 0.1653 0.0000 0.0870 1
P3 P 0.1653 0.0000 0.5770 1